The following is a PBE-GGA calculation of an optimized crystal structure of CrFeHg2, from Alexandria.

Summary:
The value obtained for the energy of formation is 905 meV/atom. Its polymorph energy (0 for the lowest one) is 12.488 kcal/mol of atoms. As for the density of states at the Fermi level: 12.19 states/eV per cell. Its space group is No. 225.

Lattice parameters (Å, degrees): 4.4709 4.4709 4.4709 60.00 60.00 60.00
Element x y z (fractional)
Cr  0.0000  0.0000  0.0000
Fe  0.5000  0.5000  0.5000
Hg  0.2500  0.2500  0.2500
Hg  0.7500  0.7500  0.7500



The following is a PBE-GGA calculation of an optimized crystal structure of CrFeHg2, from Alexandria.

Summary:
The value obtained for the energy of formation is 552 meV/atom. Its polymorph energy (0 for the lowest one) is 4.358 kcal/mol of atoms. As for the density of states at the Fermi level: 3.55 states/eV per cell. Its space group is No. 8.

Lattice parameters (Å, degrees): 5.3654 5.3654 4.8752 108.13 108.13 32.51
Element x y z (fractional)
Cr  0.0000  0.0000  0.0000
Fe  0.2792  0.2792  0.6764
Hg  0.5299  0.5299  0.5271
Hg  0.7569  0.7569  0.1626



The following is a PBE-GGA calculation of an optimized crystal structure of CrFe2Hg2, from Alexandria.

Summary:
The value obtained for the energy of formation is 840 meV/atom. Its polymorph energy (0 for the lowest one) is 0.000 kcal/mol of atoms. As for the density of states at the Fermi level: 6.82 states/eV per cell. Its space group is No. 139.

Lattice parameters (Å, degrees): 8.0631 8.0631 8.0631 156.37 156.37 33.66
Element x y z (fractional)
Cr  0.0000  0.0000  0.0000
Fe  0.2500  0.7500  0.5000
Fe  0.7500  0.2500  0.5000
Hg  0.3954  0.3954  0.0000
Hg  0.6046  0.6046  0.0000